Here is RbPdI2 after structural relaxation from the Alexandria database. Energies are from PBE-GGA.

```
data_RbPdI2
_cell_length_a 7.1750
_cell_length_b 7.1750
_cell_length_c 14.4815
_cell_angle_alpha 90.00
_cell_angle_beta 90.00
_cell_angle_gamma 90.00
_symmetry_space_group_name_H-M 'I -4 2 d'
_symmetry_Int_Tables_number 122
_symmetry_space_group_name_Hall 'I -4 2bw'
loop_
_atom_site_label
_atom_site_fract_x
_atom_site_fract_y
_atom_site_fract_z
_atom_site_occupancy
Rb1 0.0000 0.0000 0.0000 1
Pd1 0.0000 0.0000 0.5000 1
I1 0.1364 0.2500 0.6250 1
```

Output
DFT total energy: -2.91 eV per atom
E_form (uncorrected): -0.597 eV per atom
excess energy over the best structure of this formula in the dataset: 0.0 meV per atom

***

Here is Rb2Pa3OsO12 after structural relaxation from the Alexandria database. Energies are from PBE-GGA.

```
data_Rb2Pa3OsO12
_cell_length_a 8.0051
_cell_length_b 8.0051
_cell_length_c 19.0820
_cell_angle_alpha 90.00
_cell_angle_beta 90.00
_cell_angle_gamma 120.00
_symmetry_space_group_name_H-M 'R -3 m'
_symmetry_Int_Tables_number 166
_symmetry_space_group_name_Hall '-R 3 2"'
loop_
_atom_site_label
_atom_site_fract_x
_atom_site_fract_y
_atom_site_fract_z
_atom_site_occupancy
Rb1 0.0000 0.0000 0.1130 1
Pa1 0.0000 0.5000 0.0000 1
Os1 0.0000 0.0000 0.5000 1
O1 0.0754 0.5377 0.3595 1
O2 0.1084 0.5542 0.1102 1
```

Output
DFT total energy: -8.25 eV per atom
E_form (uncorrected): -2.632 eV per atom

***

Here is YTc2Br after structural relaxation from the Alexandria database. Energies are from PBE-GGA.

```
data_YTc2Br
_cell_length_a 3.2026
_cell_length_b 3.2213
_cell_length_c 15.6387
_cell_angle_alpha 90.00
_cell_angle_beta 90.00
_cell_angle_gamma 90.00
_symmetry_space_group_name_H-M 'A m m 2'
_symmetry_Int_Tables_number 38
loop_
_symmetry_equiv_pos_as_xyz
'x,y,z'
'-x,-y,z'
'-x,y,z'
'x,-y,z'
'x,y+1/2,z+1/2'
'-x,-y+1/2,z+1/2'
'-x,y+1/2,z+1/2'
'x,-y+1/2,z+1/2'
loop_
_atom_site_label
_atom_site_fract_x
_atom_site_fract_y
_atom_site_fract_z
_atom_site_occupancy
Y1 0.0000 0.0000 0.0000 1
Tc1 0.0000 0.0000 0.2103 1
Tc2 0.5000 0.0000 0.6315 1
Br1 0.5000 0.0000 0.3689 1
```

Output
DFT total energy: -7.34 eV per atom
E_form (uncorrected): -0.122 eV per atom
excess energy over the best structure of this formula in the dataset: 0.0 meV per atom

***

Here is Rb2ReAsSe after structural relaxation from the Alexandria database. Energies are from PBE-GGA.

```
data_Rb2ReAsSe
_cell_length_a 6.6468
_cell_length_b 6.6468
_cell_length_c 4.6365
_cell_angle_alpha 90.00
_cell_angle_beta 90.00
_cell_angle_gamma 90.00
_symmetry_space_group_name_H-M 'P 4/m m m'
_symmetry_Int_Tables_number 123
_symmetry_space_group_name_Hall '-P 4 2'
loop_
_atom_site_label
_atom_site_fract_x
_atom_site_fract_y
_atom_site_fract_z
_atom_site_occupancy
Rb1 0.0000 0.5000 0.0000 1
Re1 0.0000 0.0000 0.5000 1
As1 0.5000 0.5000 0.5000 1
Se1 0.0000 0.0000 0.0000 1
```

Output
DFT total energy: -3.82 eV per atom
E_form (uncorrected): 0.685 eV per atom

***

Here is SbPIr2 after structural relaxation from the Alexandria database. Energies are from PBE-GGA.

```
data_SbPIr2
_cell_length_a 3.8514
_cell_length_b 3.8514
_cell_length_c 8.7531
_cell_angle_alpha 90.00
_cell_angle_beta 90.00
_cell_angle_gamma 90.00
_symmetry_space_group_name_H-M 'I -4 m 2'
_symmetry_Int_Tables_number 119
_symmetry_space_group_name_Hall 'I -4 -2'
loop_
_atom_site_label
_atom_site_fract_x
_atom_site_fract_y
_atom_site_fract_z
_atom_site_occupancy
Sb1 0.0000 0.0000 0.0000 1
P1 0.0000 0.5000 0.2500 1
Ir1 0.0000 0.0000 0.5000 1
Ir2 0.0000 0.5000 0.7500 1
```

Output
DFT total energy: -6.46 eV per atom
E_form (uncorrected): 0.356 eV per atom
excess energy over the best structure of this formula in the dataset: 630.3 meV per atom

***

Here is ZrNiB after structural relaxation from the Alexandria database. Energies are from PBE-GGA.

```
data_ZrNiB
_cell_length_a 10.5943
_cell_length_b 3.2412
_cell_length_c 4.6084
_cell_angle_alpha 90.00
_cell_angle_beta 105.97
_cell_angle_gamma 90.00
_symmetry_space_group_name_H-M 'C 1 2/m 1'
_symmetry_Int_Tables_number 12
loop_
_symmetry_equiv_pos_as_xyz
'x,y,z'
'-x,-y,-z'
'-x,y,-z'
'x,-y,z'
'x+1/2,y+1/2,z'
'-x+1/2,-y+1/2,-z'
'-x+1/2,y+1/2,-z'
'x+1/2,-y+1/2,z'
loop_
_atom_site_label
_atom_site_fract_x
_atom_site_fract_y
_atom_site_fract_z
_atom_site_occupancy
Zr1 0.1243 0.0000 0.3157 1
Ni1 0.0922 0.5000 0.7654 1
B1 0.2365 0.0000 0.8905 1
```

Output
DFT total energy: -7.57 eV per atom
DFT formation energy: -0.57 eV/atom

***

Here is FeTc2Hg after structural relaxation from the Alexandria database. Energies are from PBE-GGA.

```
data_FeTc2Hg
_cell_length_a 6.2984
_cell_length_b 6.2984
_cell_length_c 6.2984
_cell_angle_alpha 90.00
_cell_angle_beta 90.00
_cell_angle_gamma 90.00
_symmetry_space_group_name_H-M 'F -4 3 m'
_symmetry_Int_Tables_number 216
_symmetry_space_group_name_Hall 'F -4 2 3'
loop_
_atom_site_label
_atom_site_fract_x
_atom_site_fract_y
_atom_site_fract_z
_atom_site_occupancy
Fe1 0.0000 0.0000 0.0000 1
Tc1 0.0000 0.0000 0.5000 1
Tc2 0.2500 0.2500 0.7500 1
Hg1 0.2500 0.2500 0.2500 1
```

Output
DFT total energy: -6.78 eV per atom
DFT formation energy: 0.60 eV/atom

***

Here is LaPr2SmHg2 after structural relaxation from the Alexandria database. Energies are from PBE-GGA.

```
data_LaPr2SmHg2
_cell_length_a 5.2759
_cell_length_b 9.7120
_cell_length_c 7.3398
_cell_angle_alpha 90.00
_cell_angle_beta 90.00
_cell_angle_gamma 90.00
_symmetry_space_group_name_H-M 'P m c 21'
_symmetry_Int_Tables_number 26
loop_
_symmetry_equiv_pos_as_xyz
'x,y,z'
'-x,-y,z+1/2'
'-x,y,z'
'x,-y,z+1/2'
loop_
_atom_site_label
_atom_site_fract_x
_atom_site_fract_y
_atom_site_fract_z
_atom_site_occupancy
La1 0.0000 0.0589 0.0000 1
Pr1 0.0000 0.3293 0.3424 1
Pr2 0.5000 0.4421 0.0260 1
Sm1 0.5000 0.1764 0.6789 1
Hg1 0.0000 0.3491 0.7739 1
Hg2 0.5000 0.1443 0.2534 1
```

Output
DFT total energy: -3.63 eV per atom
DFT formation energy: -0.32 eV/atom

***

The records above give, respectively, volume values of 745.5 1059.0 161.3 204.8 129.8 152.1 249.9 376.1 Å³ per cell.